Record 1
A plane-wave DFT calculation with PBE was carried out for a geometry-optimized CoReSe4 structure.

Computed properties:
The calculation puts the energy above the most stable polymorph in this dataset at 41.396 kcal/mol of atoms. For the density of states at the Fermi level, the calculation gives 1.191 states/eV per atom. For the density, the calculation gives 7.8 g/cm³. The energy relative to the elements, uncorrected is 1.59 eV/atom.

```
CoReSe4
1.0
-1.647 -5.260 -0.500
-5.384 -1.178 -0.507
-1.989 -1.830 -4.830
Co Re Se
1 1 4
direct
0.750 0.750 0.750 Co
0.000 0.000 0.000 Re
0.876 0.375 0.375 Se
0.375 0.375 0.876 Se
0.375 0.876 0.375 Se
0.375 0.375 0.375 Se
```

---

Record 2
A plane-wave DFT calculation with PBE was carried out for a geometry-optimized LaHgPd structure.

Computed properties:
The calculation puts the energy above the most stable polymorph in this dataset at 0.183 kcal/mol of atoms. For the density of states at the Fermi level, the calculation gives 0.587 states/eV per atom. For the density, the calculation gives 10.2 g/cm³. The formation enthalpy at 0 K is -0.7203 eV per atom.

```
LaHgPd
1.0
4.271 0.000 0.000
0.000 9.011 0.000
0.000 0.000 7.562
La Hg Pd
4 4 4
direct
0.250 0.807 0.447 La
0.750 0.307 0.053 La
0.250 0.693 0.947 La
0.750 0.193 0.553 La
0.750 0.938 0.145 Hg
0.750 0.562 0.645 Hg
0.250 0.062 0.855 Hg
0.250 0.438 0.355 Hg
0.750 0.629 0.234 Pd
0.750 0.871 0.734 Pd
0.250 0.129 0.266 Pd
0.250 0.371 0.766 Pd
```

---

Record 3
A plane-wave DFT calculation with PBE was carried out for a geometry-optimized Pr2ErSc structure.

Computed properties:
The calculation puts the energy above the most stable polymorph in this dataset at 0.000 kcal/mol of atoms. For the density of states at the Fermi level, the calculation gives 1.344 states/eV per atom. For the density, the calculation gives 6.5 g/cm³. The formation enthalpy at 0 K is 0.0396 eV per atom.

```
Pr2ErSc
1.0
-0.850 -3.399 1.011
3.533 -0.900 -0.055
0.785 2.520 9.130
Pr Sc Er
2 1 1
direct
0.000 0.000 0.761 Pr
0.000 0.000 0.239 Pr
0.500 0.500 0.000 Sc
0.500 0.500 0.500 Er
```

---

Record 4
A plane-wave DFT calculation with PBE was carried out for a geometry-optimized La2Sm2Er5 structure.

Computed properties:
The calculation puts the energy above the most stable polymorph in this dataset at 0.000 kcal/mol of atoms. For the density of states at the Fermi level, the calculation gives 1.727 states/eV per atom. For the density, the calculation gives 7.8 g/cm³. The formation enthalpy at 0 K is 0.2012 eV per atom.

```
La2Sm2Er5
1.0
-3.436 7.513 8.610
-6.008 -3.049 0.261
7.352 -6.971 0.749
La Sm Er
4 4 10
direct
0.129 0.688 0.254 La
0.872 0.433 0.746 La
0.626 0.188 0.254 La
0.374 0.933 0.746 La
0.000 0.019 0.000 Sm
0.500 0.519 0.000 Sm
0.258 0.355 0.500 Sm
0.742 0.855 0.500 Sm
0.202 0.648 0.894 Er
0.798 0.754 0.106 Er
0.192 0.149 0.894 Er
0.808 0.254 0.106 Er
0.375 0.031 0.285 Er
0.625 0.746 0.715 Er
0.411 0.531 0.285 Er
0.589 0.246 0.715 Er
0.009 0.661 0.500 Er
0.991 0.161 0.500 Er
```